A geometry-optimized Dy3Y2Lu2Ni2Te2 structure, computed with GGA-PBE.

abc: 3.844 15.541 9.485
angles: 90.00 90.00 90.00
Space group Imm2 (No. 44)
Inequivalent atoms, fractional coordinates:
Dy 0.000 0.000 0.000 x2
Dy 0.000 0.315 0.620 x4
Y 0.000 0.354 0.267 x4
Lu 0.000 0.134 0.416 x4
Ni 0.000 0.241 0.929 x4
Te 0.000 0.000 0.658 x2
Te 0.000 0.500 0.768 x2

Computed properties:
The calculation puts the energy above the lowest structure with this stoichiometry at 12.6 meV per atom. The value obtained for the volume is 25.76 Å³/atom.

---

A geometry-optimized LiZr structure, computed with GGA-PBE.

abc: 6.091 4.818 8.366
angles: 90.00 92.13 90.00
Space group P2_1/m (No. 11)
Inequivalent atoms, fractional coordinates:
Li 0.025 0.250 0.115 x2
Li 0.220 0.750 0.183 x2
Li 0.458 0.750 0.935 x2
Zr 0.126 0.750 0.529 x2
Zr 0.277 0.250 0.731 x2
Zr 0.395 0.250 0.392 x2

Computed properties:
The calculation puts the energy above the lowest structure with this stoichiometry at 45.2 meV per atom. The value obtained for the volume is 20.45 Å³/atom.